# TaZnRuPb2 (PBE-GGA, relaxed)
data_TaZnRuPb2
_symmetry_space_group_name_H-M 'P 1'
_symmetry_Int_Tables_number 1
_symmetry_space_group_name_Hall 'P 1'
_cell_length_a 5.603
_cell_length_b 4.653
_cell_length_c 5.603
_cell_angle_alpha 90.00
_cell_angle_beta 90.00
_cell_angle_gamma 90.00
loop_
_atom_site_label
_atom_site_fract_x
_atom_site_fract_y
_atom_site_fract_z
_atom_site_occupancy
Pb1 0.000 0.000 0.500 1
Pb2 0.500 0.000 0.000 1
Ru1 0.000 0.500 0.000 1
Zn1 0.500 0.500 0.500 1
Ta1 0.000 0.000 0.000 1
# DFT total energy = -24.64 eV per cell
# Space group = No. 123
# Formation energy from the elements = 500 kJ/mol of formula units

---

# Pm3Dy2In4 (PBE-GGA, relaxed)
data_Pm3Dy2In4
_symmetry_space_group_name_H-M 'P 1'
_symmetry_Int_Tables_number 1
_symmetry_space_group_name_Hall 'P 1'
_cell_length_a 5.359
_cell_length_b 5.358
_cell_length_c 10.316
_cell_angle_alpha 89.99
_cell_angle_beta 90.00
_cell_angle_gamma 59.99
loop_
_atom_site_label
_atom_site_fract_x
_atom_site_fract_y
_atom_site_fract_z
_atom_site_occupancy
Pm1 0.333 0.333 0.422 1
Pm2 0.000 0.000 0.000 1
Pm3 0.667 0.667 0.578 1
Dy1 0.333 0.333 0.778 1
Dy2 0.667 0.667 0.222 1
In1 0.667 0.667 0.900 1
In2 0.000 0.000 0.345 1
In3 0.000 0.000 0.655 1
In4 0.333 0.333 0.100 1
# DFT total energy = -38.14 eV per cell
# Space group = No. 164
# Formation energy from the elements = -360 kJ/mol of formula units

---

- Which of these has the lowest formation energy from the elements?
  Pm3Dy2In4

---

- What is the formation energy from the elements in the first record?
  500 kJ/mol of formula units

---

- What is the formula in the second record?
  Pm3Dy2In4